Entry 1:
Material: CsKPm
Method: DFT, PBE
State: relaxed

## Properties
DFT total energy, eV/atom: -1.180

```
data_CsKPm
_symmetry_space_group_name_H-M 'F -4 3 m'
_symmetry_Int_Tables_number 216
_symmetry_space_group_name_Hall 'F -4 2 3'
_cell_length_a 9.526
_cell_length_b 9.526
_cell_length_c 9.526
_cell_angle_alpha 90.00
_cell_angle_beta 90.00
_cell_angle_gamma 90.00
loop_
_atom_site_label
_atom_site_fract_x
_atom_site_fract_y
_atom_site_fract_z
Cs1 0.000 0.000 0.000
K1 0.250 0.250 0.750
Pm1 0.250 0.250 0.250
```


Entry 2:
Material: NaZrCdTe3
Method: DFT, PBE
State: relaxed

## Properties
Relative energy among the computed polymorphs, eV/f.u.: 0.01

```
data_NaZrCdTe3
_symmetry_space_group_name_H-M 'P n m a'
_symmetry_Int_Tables_number 62
_cell_length_a 11.096
_cell_length_b 4.146
_cell_length_c 15.038
_cell_angle_alpha 90.00
_cell_angle_beta 90.00
_cell_angle_gamma 90.00
loop_
_symmetry_equiv_pos_as_xyz
'x,y,z'
'-x,-y,-z'
'-x+1/2,-y,z+1/2'
'x+1/2,y,-z+1/2'
'x+1/2,-y+1/2,-z+1/2'
'-x+1/2,y+1/2,z+1/2'
'-x,y+1/2,-z'
'x,-y+1/2,z'
loop_
_atom_site_label
_atom_site_fract_x
_atom_site_fract_y
_atom_site_fract_z
Na1 0.243 0.250 0.022
Zr1 0.006 0.750 0.749
Cd1 0.245 0.750 0.218
Te1 0.038 0.750 0.112
Te2 0.050 0.250 0.610
Te3 0.244 0.250 0.347
```


Entry 3:
Material: Tm5C
Method: DFT, PBE
State: relaxed

## Properties
DFT total energy, eV/atom: -3.694

```
data_Tm5C
_symmetry_space_group_name_H-M 'P 6/m m m'
_symmetry_Int_Tables_number 191
_symmetry_space_group_name_Hall '-P 6 2'
_cell_length_a 6.0759
_cell_length_b 6.0759
_cell_length_c 5.8571
_cell_angle_alpha 90.00
_cell_angle_beta 90.00
_cell_angle_gamma 120.00
loop_
_atom_site_label
_atom_site_fract_x
_atom_site_fract_y
_atom_site_fract_z
Tm1 0.0000 0.5000 0.0000
Tm2 0.3333 0.6667 0.5000
C1 0.0000 0.0000 0.5000
```


Entry 4:
Material: LaGeAu
Method: DFT, PBE
State: relaxed

## Properties
DFT total energy, eV/atom: -5.159

```
data_LaGeAu
_symmetry_space_group_name_H-M 'P 63 m c'
_symmetry_Int_Tables_number 186
_symmetry_space_group_name_Hall 'P 6c -2c'
_cell_length_a 4.5567
_cell_length_b 4.5567
_cell_length_c 8.0152
_cell_angle_alpha 90.00
_cell_angle_beta 90.00
_cell_angle_gamma 120.00
loop_
_atom_site_label
_atom_site_fract_x
_atom_site_fract_y
_atom_site_fract_z
La1 0.0000 0.0000 0.0000
Ge1 0.3333 0.6667 0.2151
Au1 0.3333 0.6667 0.7686
```